# Rb2TaSbF6

A relaxed Rb2TaSbF6 crystal (PBE, Alexandria).

## Properties
Calculated volume in Å³/atom: 29.01
Formation energy without anion corrections in eV/atom: -2.39
Total DFT energy (no corrections) in eV/f.u.: -53.1
Symmetry: No. 139

Lattice parameters (Å, degrees): 7.2675 7.2675 7.5221 61.11 61.11 90.00
Each line ends with the local moment (μB).
Positions (direct):
Sb: 0.5000 0.5000 0.0000  0.65
F: 0.1755 0.1755 0.6490  0.00
F: 0.8245 0.8245 0.3510  0.00
F: 0.1874 0.1874 0.0000  0.01
F: 0.8126 0.8126 0.0000  0.01
F: 0.8126 0.1874 0.0000  0.01
F: 0.1874 0.8126 0.0000  0.01
Rb: 0.7500 0.2500 0.5000  0.01
Rb: 0.2500 0.7500 0.5000  0.01
Ta: 0.0000 0.0000 0.0000  -0.05



# SrAc12Si6

A relaxed SrAc12Si6 crystal (PBE, Alexandria).

## Properties
Calculated volume in Å³/atom: 38.53
Formation energy without anion corrections in eV/atom: -0.25
Total DFT energy (no corrections) in eV/f.u.: -88.2
Symmetry: No. 166
Polymorph energy (0 for the lowest one) in kcal/mol of atoms: 1.76

Lattice parameters (Å, degrees): 9.3334 9.3334 9.3334 103.52 103.52 103.52
Positions (direct):
Sr: 0.0000 0.0000 0.0000
Ac: 0.8739 0.1261 0.5000
Ac: 0.8196 0.5483 0.5483
Ac: 0.5483 0.5483 0.8196
Ac: 0.4517 0.1804 0.4517
Ac: 0.4517 0.4517 0.1804
Ac: 0.1804 0.4517 0.4517
Ac: 0.1261 0.5000 0.8739
Ac: 0.5000 0.8739 0.1261
Ac: 0.1261 0.8739 0.5000
Ac: 0.8739 0.5000 0.1261
Ac: 0.5000 0.1261 0.8739
Ac: 0.5483 0.8196 0.5483
Si: 0.6868 0.2468 0.2468
Si: 0.2468 0.2468 0.6868
Si: 0.2468 0.6868 0.2468
Si: 0.7532 0.7532 0.3132
Si: 0.3132 0.7532 0.7532
Si: 0.7532 0.3132 0.7532



# La6Ir2Se3Cl

A relaxed La6Ir2Se3Cl crystal (PBE, Alexandria).

## Properties
Calculated volume in Å³/atom: 28.22
Formation energy without anion corrections in eV/atom: -1.53
Total DFT energy (no corrections) in eV/f.u.: -78.0
Symmetry: No. 12

Lattice parameters (Å, degrees): 4.2040 8.8305 9.6907 104.96 102.53 90.00
Positions (direct):
La: 0.3271 0.8885 0.6543
La: 0.6725 0.5708 0.3450
La: 0.6729 0.1115 0.3457
La: 0.0105 0.2653 0.0210
La: 0.9895 0.7347 0.9790
La: 0.3275 0.4292 0.6550
Ir: 0.8337 0.6689 0.6674
Ir: 0.1663 0.3311 0.3326
Se: 0.5000 0.5000 0.0000
Se: 0.8418 0.1606 0.6835
Se: 0.1582 0.8394 0.3165
Cl: 0.5000 0.0000 0.0000



# BaCrTc2

A relaxed BaCrTc2 crystal (PBE, Alexandria).

## Properties
Calculated volume in Å³/atom: 19.40
E_form in eV per atom: 1.0304
Total DFT energy (no corrections) in eV/f.u.: -28.2
Symmetry: No. 160
Polymorph energy (0 for the lowest one) in kcal/mol of atoms: 10.94

Lattice parameters (Å, degrees): 9.7347 9.7347 9.7347 18.08 18.08 18.08
Each line ends with the local moment (μB).
Positions (direct):
Ba: 0.4998 0.4998 0.4998  0.02
Cr: 0.7274 0.7274 0.7274  0.39
Tc: 0.0041 0.0041 0.0041  -0.09
Tc: 0.2687 0.2687 0.2687  -0.01



# SrAcZnPb

A relaxed SrAcZnPb crystal (PBE, Alexandria).

## Properties
Calculated volume in Å³/atom: 33.18
E_form in eV per atom: -0.3685
Total DFT energy (no corrections) in eV/f.u.: -12.2
Symmetry: No. 216

Lattice parameters (Å, degrees): 5.7254 5.7254 5.7254 60.00 60.00 60.00
Positions (direct):
Pb: 0.5000 0.5000 0.5000
Sr: 0.2500 0.2500 0.2500
Ac: 0.7500 0.7500 0.7500
Zn: 0.0000 0.0000 0.0000



# Pu2InHg

A relaxed Pu2InHg crystal (PBE, Alexandria).

## Properties
Calculated volume in Å³/atom: 26.37
E_form in eV per atom: -0.0017
Total DFT energy (no corrections) in eV/f.u.: -31.7
Symmetry: No. 166

Lattice parameters (Å, degrees): 3.3523 3.3523 11.0105 81.24 81.24 60.00
Each line ends with the local moment (μB).
Positions (direct):
In: 0.5000 0.5000 0.5000  -0.03
Hg: 0.0000 0.0000 0.0000  0.02
Pu: 0.2507 0.2507 0.2480  5.61
Pu: 0.7493 0.7493 0.7520  5.61